A plane-wave DFT calculation with PBE-GGA was carried out for a relaxed RbCrS2 crystal.

Output
Theoretical density, g/cm³: 2.6
E_form (uncorrected), kJ per mole of atoms: -76.5
Raw total energy, eV per cell: -44.03
Symmetry: C2/m, No. 12

Cell: 3.933 7.674 9.288 Å, 78.00 102.21 104.84°
Each line ends with the local moment (μB).
Atoms (fractional coordinates):
S (0.257, 0.231, 0.585)  -0.08
S (0.498, 0.329, 0.971)  -0.03
S (0.769, 0.969, 0.872)  -0.08
S (0.528, 0.871, 0.486)  -0.03
Cr (0.700, 0.076, 0.625)  1.71
Cr (0.326, 0.123, 0.832)  1.71
Rb (0.013, 0.100, 0.228)  0.01
Rb (0.013, 0.600, 0.728)  0.00

---

A plane-wave DFT calculation with PBE-GGA was carried out for a relaxed FeTcRu2 crystal.

Output
Theoretical density, g/cm³: 11.2
Raw total energy, eV per cell: -36.89
Symmetry: P4mm, No. 99
Offset from the most stable computed form, meV per atom: 28

Cell: 2.672 2.672 7.425 Å, 90.00 90.00 90.00°
Each line ends with the local moment (μB).
Atoms (fractional coordinates):
Fe (0.500, 0.500, 0.751)  0.18
Tc (0.000, 0.000, 0.514)  -0.03
Ru (0.000, 0.000, 0.987)  -0.01
Ru (0.500, 0.500, 0.247)  -0.03

---

A plane-wave DFT calculation with PBE-GGA was carried out for a relaxed CeSmTc crystal.

Output
Theoretical density, g/cm³: 8.1
Raw total energy, eV per cell: -42.21
Symmetry: P2_1/m, No. 11
Offset from the most stable computed form, meV per atom: 23

Cell: 4.409 5.418 6.901 Å, 90.00 105.00 90.00°
Atoms (fractional coordinates):
Sm (0.122, 0.750, 0.698)
Sm (0.878, 0.250, 0.302)
Tc (0.153, 0.250, 0.959)
Tc (0.847, 0.750, 0.041)
Ce (0.404, 0.750, 0.211)
Ce (0.596, 0.250, 0.789)